(1)
Material: PrTmAl6
Method: DFT, PBE-GGA
State: optimized geometry

Summary:
The formation energy comes out at -409.6 meV/atom. Its space group is P-6m2.

CIF file:
```
data_PrTmAl6
_chemical_formula_sum 'Pr1 Tm1 Al6'
_cell_length_a 6.349
_cell_length_b 6.349
_cell_length_c 4.663
_cell_angle_alpha 90.00
_cell_angle_beta 90.00
_cell_angle_gamma 120.00
_space_group_name_H-M_alt 'P 1'
_space_group_IT_number 1
loop_
_space_group_symop_operation_xyz
'x,y,z'
loop_
_atom_site_label
_atom_site_type_symbol
_atom_site_fract_x
_atom_site_fract_y
_atom_site_fract_z
Pr1 Pr 0.000 0.000 0.000
Tm1 Tm 0.667 0.333 0.500
Al1 Al 0.041 0.520 0.000
Al2 Al 0.191 0.382 0.500
Al3 Al 0.191 0.809 0.500
Al4 Al 0.480 0.520 0.000
Al5 Al 0.480 0.959 0.000
Al6 Al 0.618 0.809 0.500
```


(2)
Material: Y2ScPa2Co5
Method: DFT, PBE-GGA
State: optimized geometry

Summary:
The formation energy comes out at -127.4 meV/atom. Its space group is P4/mbm.

CIF file:
```
data_Y2ScPa2Co5
_chemical_formula_sum 'Y4 Sc2 Pa4 Co10'
_cell_length_a 10.351
_cell_length_b 10.351
_cell_length_c 3.399
_cell_angle_alpha 90.00
_cell_angle_beta 90.00
_cell_angle_gamma 90.00
_space_group_name_H-M_alt 'P 1'
_space_group_IT_number 1
loop_
_space_group_symop_operation_xyz
'x,y,z'
loop_
_atom_site_label
_atom_site_type_symbol
_atom_site_fract_x
_atom_site_fract_y
_atom_site_fract_z
Y1 Y 0.170 0.330 0.000
Y2 Y 0.330 0.830 0.000
Y3 Y 0.670 0.170 0.000
Y4 Y 0.830 0.670 0.000
Sc1 Sc 0.000 0.000 0.000
Sc2 Sc 0.500 0.500 0.000
Pa1 Pa 0.139 0.639 0.000
Pa2 Pa 0.361 0.139 0.000
Pa3 Pa 0.639 0.861 0.000
Pa4 Pa 0.861 0.361 0.000
Co1 Co 0.000 0.500 0.500
Co2 Co 0.047 0.792 0.500
Co3 Co 0.208 0.047 0.500
Co4 Co 0.292 0.547 0.500
Co5 Co 0.453 0.292 0.500
Co6 Co 0.500 0.000 0.500
Co7 Co 0.547 0.708 0.500
Co8 Co 0.708 0.453 0.500
Co9 Co 0.792 0.953 0.500
Co10 Co 0.953 0.208 0.500
```


(3)
Material: Pu2Pa5
Method: DFT, PBE-GGA
State: optimized geometry

Summary:
The formation energy comes out at 42.4 meV/atom. Its space group is C2/m.

CIF file:
```
data_Pu2Pa5
_chemical_formula_sum 'Pu4 Pa10'
_cell_length_a 8.370
_cell_length_b 5.498
_cell_length_c 8.340
_cell_angle_alpha 90.00
_cell_angle_beta 119.88
_cell_angle_gamma 90.00
_space_group_name_H-M_alt 'P 1'
_space_group_IT_number 1
loop_
_space_group_symop_operation_xyz
'x,y,z'
loop_
_atom_site_label
_atom_site_type_symbol
_atom_site_fract_x
_atom_site_fract_y
_atom_site_fract_z
Pu1 Pu 0.072 0.000 0.356
Pu2 Pu 0.428 0.500 0.644
Pu3 Pu 0.572 0.500 0.356
Pu4 Pu 0.928 0.000 0.644
Pa1 Pa 0.000 0.500 0.500
Pa2 Pa 0.148 0.500 0.221
Pa3 Pa 0.214 0.000 0.071
Pa4 Pa 0.286 0.500 0.929
Pa5 Pa 0.352 0.000 0.779
Pa6 Pa 0.500 0.000 0.500
Pa7 Pa 0.648 0.000 0.221
Pa8 Pa 0.714 0.500 0.071
Pa9 Pa 0.786 0.000 0.929
Pa10 Pa 0.852 0.500 0.779
```


(4)
Material: NaEuGaSb
Method: DFT, PBE-GGA
State: optimized geometry

Summary:
As for the formation energy without anion corrections: -427 meV per atom. Its space group is F-43m.

CIF file:
```
data_NaEuGaSb
_chemical_formula_sum 'Na4 Eu4 Ga4 Sb4'
_cell_length_a 7.572
_cell_length_b 7.572
_cell_length_c 7.572
_cell_angle_alpha 90.00
_cell_angle_beta 90.00
_cell_angle_gamma 90.00
_space_group_name_H-M_alt 'P 1'
_space_group_IT_number 1
loop_
_space_group_symop_operation_xyz
'x,y,z'
loop_
_atom_site_label
_atom_site_type_symbol
_atom_site_fract_x
_atom_site_fract_y
_atom_site_fract_z
Na1 Na 0.000 0.000 0.000
Na2 Na 0.000 0.500 0.500
Na3 Na 0.500 0.000 0.500
Na4 Na 0.500 0.500 0.000
Eu1 Eu 0.000 0.000 0.500
Eu2 Eu 0.000 0.500 0.000
Eu3 Eu 0.500 0.000 0.000
Eu4 Eu 0.500 0.500 0.500
Ga1 Ga 0.250 0.250 0.750
Ga2 Ga 0.250 0.750 0.250
Ga3 Ga 0.750 0.250 0.250
Ga4 Ga 0.750 0.750 0.750
Sb1 Sb 0.250 0.250 0.250
Sb2 Sb 0.250 0.750 0.750
Sb3 Sb 0.750 0.250 0.750
Sb4 Sb 0.750 0.750 0.250
```


Number 1: DOS at the Fermi energy 3.11 states/eV/cell. Number 2: DOS at the Fermi energy 14.72 states/eV/cell. Number 3: DOS at the Fermi energy 30.73 states/eV/cell. Number 4: DOS at the Fermi energy 14.43 states/eV/cell.